Record 1
Sc5TlGa | PBE-GGA | relaxed

Summary:
Magnetization ... 0.0 μB/cell
Volume ... 326.6 Å³ per cell
Space group ... C2/c, No. 15
Total DFT energy (no corrections) ... -76.1 eV for the cell shown
DFT formation energy ... -0.144 eV per atom

a b c (Å): 5.7347 5.7347 10.0934
angles (deg): 97.26 97.26 90.11
With the nearest neighbours (Å) after each atom.
Fractional positions:
Sc (0.0103, 0.6008, 0.1699)  2 Ga 2.92-3.19, 2 Sc 2.97-3.26, 1 Tl 3.02
Sc (0.2473, 0.4954, 0.4769)  2 Ga 2.87-2.94, 2 Sc 2.88-2.93
Sc (0.6008, 0.0103, 0.6699)  2 Ga 2.92-3.19, 2 Sc 2.97-3.26, 1 Tl 3.02
Sc (0.8457, 0.1543, 0.2500)  1 Ga 2.79, 2 Tl 2.82, 2 Sc 2.97
Sc (0.5046, 0.7527, 0.0231)  2 Ga 2.87-2.94, 2 Sc 2.88-2.93
Sc (0.4954, 0.2473, 0.9769)  2 Ga 2.87-2.94, 2 Sc 2.88-2.93
Sc (0.1543, 0.8457, 0.7500)  1 Ga 2.79, 2 Tl 2.82, 2 Sc 2.97
Sc (0.3992, 0.9897, 0.3301)  2 Ga 2.92-3.19, 2 Sc 2.97-3.26, 1 Tl 3.02
Sc (0.7527, 0.5046, 0.5231)  2 Ga 2.87-2.94, 2 Sc 2.88-2.93
Sc (0.9897, 0.3992, 0.8301)  2 Ga 2.92-3.19, 2 Sc 2.97-3.26, 1 Tl 3.02
Tl (0.0000, 0.0000, 0.0000)  4 Sc 2.82-3.02
Tl (0.0000, 0.0000, 0.5000)  4 Sc 2.82-3.02
Ga (0.5023, 0.4977, 0.2500)  7 Sc 2.79-2.94
Ga (0.4977, 0.5023, 0.7500)  7 Sc 2.79-2.94



Record 2
Sc8TlGa2 | PBE-GGA | relaxed

Summary:
Magnetization ... 0.0 μB/cell
Volume ... 255.5 Å³ per cell
Space group ... C2/m, No. 12
Total DFT energy (no corrections) ... -61.5 eV for the cell shown
Energy relative to the lowest polymorph listed for this composition ... 39.9 meV per atom
DFT formation energy ... -0.222 eV per atom

a b c (Å): 5.0890 7.6643 7.6643
angles (deg): 115.43 99.95 99.95
With the nearest neighbours (Å) after each atom.
Fractional positions:
Sc (0.8907, 0.9134, 0.6691)  2 Ga 2.78-2.87
Sc (0.8907, 0.6691, 0.9134)  2 Ga 2.78-2.87
Sc (0.2976, 0.5991, 0.5991)  2 Ga 2.92, 2 Sc 2.94-3.01, 1 Tl 3.11
Sc (0.5000, 0.7695, 0.2305)  2 Ga 2.72, 1 Tl 2.99
Sc (0.5000, 0.2305, 0.7695)  2 Ga 2.72, 1 Tl 2.99
Sc (0.7024, 0.4009, 0.4009)  2 Ga 2.92, 2 Sc 2.94-3.01, 1 Tl 3.11
Sc (0.1093, 0.3309, 0.0866)  2 Ga 2.78-2.87
Sc (0.1093, 0.0866, 0.3309)  2 Ga 2.78-2.87
Tl (0.5000, 0.0000, 0.0000)  4 Sc 2.99-3.11
Ga (0.0000, 0.3049, 0.6951)  8 Sc 2.72-2.92
Ga (0.0000, 0.6951, 0.3049)  8 Sc 2.72-2.92



Record 3
Sc5TlGa2 | PBE-GGA | relaxed

Summary:
Magnetization ... 0.1 μB/cell
Volume ... 352.1 Å³ per cell
Space group ... I4/mcm, No. 140
Total DFT energy (no corrections) ... -87.5 eV for the cell shown
DFT formation energy ... -0.460 eV per atom

a b c (Å): 7.2927 7.2927 8.3924
angles (deg): 115.75 115.75 90.00
With the nearest neighbours (Å) after each atom.
Fractional positions:
Sc (0.5200, 0.6923, 0.7122)  3 Ga 2.85-2.88, 2 Tl 3.07
Sc (0.8077, 0.9800, 0.2878)  3 Ga 2.85-2.88, 2 Tl 3.07
Sc (0.0000, 0.0000, 0.0000)  4 Ga 2.86
Sc (0.5000, 0.5000, 0.0000)  4 Ga 2.86
Sc (0.1923, 0.0200, 0.7122)  3 Ga 2.85-2.88, 2 Tl 3.07
Sc (0.6923, 0.1923, 0.7122)  3 Ga 2.85-2.88, 2 Tl 3.07
Sc (0.0200, 0.5200, 0.7122)  3 Ga 2.85-2.88, 2 Tl 3.07
Sc (0.3077, 0.8077, 0.2878)  3 Ga 2.85-2.88, 2 Tl 3.07
Sc (0.9800, 0.4800, 0.2878)  3 Ga 2.85-2.88, 2 Tl 3.07
Sc (0.4800, 0.3077, 0.2878)  3 Ga 2.85-2.88, 2 Tl 3.07
Tl (0.7500, 0.7500, 0.5000)  10 Sc 3.07-3.31
Tl (0.2500, 0.2500, 0.5000)  10 Sc 3.07-3.31
Ga (0.1302, 0.3698, 0.0000)  1 Ga 2.68, 8 Sc 2.85-2.88
Ga (0.6302, 0.1302, 0.0000)  1 Ga 2.68, 8 Sc 2.85-2.88
Ga (0.3698, 0.8698, 0.0000)  1 Ga 2.68, 8 Sc 2.85-2.88
Ga (0.8698, 0.6302, 0.0000)  1 Ga 2.68, 8 Sc 2.85-2.88



Record 4
Sc6TlGa | PBE-GGA | relaxed

Summary:
Magnetization ... 3.0 μB/cell
Volume ... 177.2 Å³ per cell
Space group ... P4/mmm, No. 123
Total DFT energy (no corrections) ... -45.5 eV for the cell shown
Energy relative to the lowest polymorph listed for this composition ... 0.0 meV per atom
DFT formation energy ... -0.262 eV per atom

a b c (Å): 4.4627 4.4627 8.8971
angles (deg): 90.00 90.00 90.00
With the nearest neighbours (Å) after each atom.
Fractional positions:
Sc (0.5000, 0.5000, 0.0000)  4 Tl 3.16, 8 Sc 3.21
Sc (0.5000, 0.5000, 0.5000)  8 Sc 3.09, 4 Ga 3.16
Sc (0.5000, 0.0000, 0.2598)  8 Sc 3.09-3.21, 2 Ga 3.09, 2 Tl 3.21
Sc (0.5000, 0.0000, 0.7402)  8 Sc 3.09-3.21, 2 Ga 3.09, 2 Tl 3.21
Sc (0.0000, 0.5000, 0.2598)  8 Sc 3.09-3.21, 2 Ga 3.09, 2 Tl 3.21
Sc (0.0000, 0.5000, 0.7402)  2 Ga 3.09, 8 Sc 3.09-3.21, 2 Tl 3.21
Tl (0.0000, 0.0000, 0.0000)  12 Sc 3.16-3.21
Ga (0.0000, 0.0000, 0.5000)  12 Sc 3.09-3.16



Record 5
ScTlGa3 | PBE-GGA | relaxed

Summary:
Magnetization ... 0.0 μB/cell
Volume ... 149.8 Å³ per cell
Space group ... Pm-3m, No. 221
Total DFT energy (no corrections) ... -15.9 eV for the cell shown
Energy relative to the lowest polymorph listed for this composition ... 0.0 meV per atom
DFT formation energy ... 0.378 eV per atom

a b c (Å): 5.3110 5.3110 5.3110
angles (deg): 90.00 90.00 90.00
With the nearest neighbours (Å) after each atom.
Fractional positions:
Sc (0.0000, 0.0000, 0.0000)  6 Ga 2.66
Tl (0.5000, 0.5000, 0.5000)  12 Ga 3.76
Ga (0.0000, 0.5000, 0.0000)  2 Sc 2.66
Ga (0.0000, 0.0000, 0.5000)  2 Sc 2.66
Ga (0.5000, 0.0000, 0.0000)  2 Sc 2.66



Record 6
Sc4TlGa | PBE-GGA | relaxed

Summary:
Magnetization ... 0.0 μB/cell
Volume ... 285.8 Å³ per cell
Space group ... C2/c, No. 15
Total DFT energy (no corrections) ... -63.0 eV for the cell shown
Energy relative to the lowest polymorph listed for this composition ... 0.0 meV per atom
DFT formation energy ... -0.130 eV per atom

a b c (Å): 5.9542 6.1356 8.4825
angles (deg): 99.33 110.55 90.01
With the nearest neighbours (Å) after each atom.
Fractional positions:
Sc (0.5365, 0.0532, 0.8378)  1 Ga 2.76, 1 Tl 2.99
Sc (0.6987, 0.4468, 0.1622)  1 Ga 2.76, 1 Tl 2.99
Sc (0.4635, 0.9468, 0.1622)  1 Ga 2.76, 1 Tl 2.99
Sc (0.3013, 0.5532, 0.8378)  1 Ga 2.76, 1 Tl 2.99
Sc (0.9660, 0.9166, 0.6721)  2 Ga 2.74-2.78, 1 Tl 3.03
Sc (0.2939, 0.5834, 0.3280)  2 Ga 2.74-2.78, 1 Tl 3.03
Sc (0.0340, 0.0834, 0.3279)  2 Ga 2.74-2.78, 1 Tl 3.03
Sc (0.7061, 0.4166, 0.6720)  2 Ga 2.74-2.78, 1 Tl 3.03
Tl (0.9079, 0.7500, 0.0000)  8 Sc 2.99-3.25, 2 Tl 3.26
Tl (0.0921, 0.2500, 0.0000)  8 Sc 2.99-3.25, 2 Tl 3.26
Ga (0.5000, 0.0000, 0.5000)  6 Sc 2.74-2.78
Ga (0.0000, 0.5000, 0.5000)  6 Sc 2.74-2.78



Record 7
ScTl2Ga2 | PBE-GGA | relaxed

Summary:
Magnetization ... 0.0 μB/cell
Volume ... 233.0 Å³ per cell
Space group ... P4/mbm, No. 127
Total DFT energy (no corrections) ... -34.4 eV for the cell shown
Energy relative to the lowest polymorph listed for this composition ... 0.0 meV per atom
DFT formation energy ... -0.021 eV per atom

a b c (Å): 7.4304 7.4304 4.2207
angles (deg): 90.00 90.00 90.00
With the nearest neighbours (Å) after each atom.
Fractional positions:
Sc (0.0000, 0.0000, 0.0000)  4 Ga 2.94
Sc (0.5000, 0.5000, 0.0000)  4 Ga 2.94
Tl (0.1816, 0.6816, 0.5000)  6 Ga 2.94-3.13
Tl (0.6816, 0.8184, 0.5000)  6 Ga 2.94-3.13
Tl (0.8184, 0.3184, 0.5000)  6 Ga 2.94-3.13
Tl (0.3184, 0.1816, 0.5000)  6 Ga 2.94-3.13
Ga (0.3758, 0.8758, 0.0000)  1 Ga 2.61
Ga (0.8758, 0.6242, 0.0000)  1 Ga 2.61
Ga (0.6242, 0.1242, 0.0000)  1 Ga 2.61
Ga (0.1242, 0.3758, 0.0000)  1 Ga 2.61



Record 8
Sc2TlGa | PBE-GGA | relaxed

Summary:
Magnetization ... 0.0 μB/cell
Volume ... 85.2 Å³ per cell
Space group ... Fm-3m, No. 225
Total DFT energy (no corrections) ... -19.6 eV for the cell shown
Energy relative to the lowest polymorph listed for this composition ... 34.5 meV per atom
DFT formation energy ... -0.377 eV per atom

a b c (Å): 4.9397 4.9397 4.9397
angles (deg): 60.00 60.00 60.00
With the nearest neighbours (Å) after each atom.
Fractional positions:
Sc (0.2500, 0.2500, 0.2500)  4 Tl 3.02, 4 Ga 3.02
Sc (0.7500, 0.7500, 0.7500)  4 Tl 3.02, 4 Ga 3.02
Tl (0.5000, 0.5000, 0.5000)  8 Sc 3.02
Ga (0.0000, 0.0000, 0.0000)  8 Sc 3.02



Record 9
Sc2TlGa | PBE-GGA | relaxed

Summary:
Magnetization ... 0.0 μB/cell
Volume ... 84.9 Å³ per cell
Space group ... P4/mmm, No. 123
Total DFT energy (no corrections) ... -19.7 eV for the cell shown
Energy relative to the lowest polymorph listed for this composition ... 0.0 meV per atom
DFT formation energy ... -0.412 eV per atom

a b c (Å): 3.3244 3.3244 7.6792
angles (deg): 90.00 90.00 90.00
With the nearest neighbours (Å) after each atom.
Fractional positions:
Sc (0.0000, 0.0000, 0.7710)  4 Ga 2.94, 4 Tl 3.14
Sc (0.0000, 0.0000, 0.2290)  4 Ga 2.94, 4 Tl 3.14
Tl (0.5000, 0.5000, 0.5000)  8 Sc 3.14, 4 Tl 3.32
Ga (0.5000, 0.5000, 0.0000)  8 Sc 2.94



Record 10
Sc2TlGa | PBE-GGA | relaxed

Summary:
Magnetization ... 0.0 μB/cell
Volume ... 104.9 Å³ per cell
Space group ... Immm, No. 71
Total DFT energy (no corrections) ... -17.0 eV for the cell shown
Energy relative to the lowest polymorph listed for this composition ... 666.1 meV per atom
DFT formation energy ... 0.254 eV per atom

a b c (Å): 6.6871 6.6871 6.6871
angles (deg): 57.30 152.08 131.05
With the nearest neighbours (Å) after each atom.
Fractional positions:
Sc (0.0000, 0.2413, 0.2413)  1 Ga 2.83, 1 Tl 3.04
Sc (0.0000, 0.7587, 0.7587)  1 Ga 2.83, 1 Tl 3.04
Tl (0.0000, 0.5000, 0.5000)  2 Sc 3.04, 4 Ga 3.21, 2 Tl 3.23
Ga (0.0000, 0.0000, 0.0000)  2 Sc 2.83



Record 11
Sc6Tl2Ga | PBE-GGA | relaxed

Summary:
Magnetization ... 3.2 μB/cell
Volume ... 207.3 Å³ per cell
Space group ... P-62m, No. 189
Total DFT energy (no corrections) ... -48.6 eV for the cell shown
DFT formation energy ... -0.319 eV per atom

a b c (Å): 3.6043 8.1492 8.1492
angles (deg): 120.00 90.00 90.00
With the nearest neighbours (Å) after each atom.
Fractional positions:
Sc (0.5000, 0.6177, 0.0000)  4 Tl 3.11, 1 Ga 3.12, 6 Sc 3.30-3.39
Sc (0.5000, 0.3823, 0.3823)  4 Tl 3.11, 1 Ga 3.12, 6 Sc 3.30-3.39
Sc (0.5000, 0.0000, 0.6177)  4 Tl 3.11, 1 Ga 3.12, 6 Sc 3.30-3.39
Sc (0.0000, 0.2658, 0.0000)  2 Ga 2.82, 2 Tl 3.03
Sc (0.0000, 0.7342, 0.7343)  2 Ga 2.82, 2 Tl 3.03
Sc (0.0000, 0.0000, 0.2657)  2 Ga 2.82, 2 Tl 3.03
Tl (0.0000, 0.3333, 0.6667)  9 Sc 3.03-3.11
Tl (0.0000, 0.6667, 0.3333)  9 Sc 3.03-3.11
Ga (0.5000, 0.0000, 0.0000)  9 Sc 2.82-3.12



Record 12
Sc2TlGa | PBE-GGA | relaxed

Summary:
Magnetization ... 0.0 μB/cell
Volume ... 91.0 Å³ per cell
Space group ... R-3m, No. 166
Total DFT energy (no corrections) ... -19.3 eV for the cell shown
Energy relative to the lowest polymorph listed for this composition ... 89.8 meV per atom
DFT formation energy ... -0.322 eV per atom

a b c (Å): 3.4284 3.4284 9.1538
angles (deg): 79.21 79.21 60.00
With the nearest neighbours (Å) after each atom.
Fractional positions:
Sc (0.2577, 0.2577, 0.2269)  3 Ga 2.83, 3 Tl 3.14
Sc (0.7423, 0.7423, 0.7731)  3 Ga 2.83, 3 Tl 3.14
Tl (0.5000, 0.5000, 0.5000)  6 Sc 3.14, 6 Tl 3.43
Ga (0.0000, 0.0000, 0.0000)  6 Sc 2.83



Which of these has the highest total DFT energy (no corrections)? ScTlGa3